# 1
A plane-wave DFT calculation with PBE was carried out for a relaxed DySc5Bi4 crystal.

CIF file:
```
data_DySc5Bi4
_chemical_formula_sum 'Dy2 Sc10 Bi8'
_space_group_name_H-M_alt 'C m m m'
_space_group_IT_number 65
_space_group_name_Hall '-C 2 2'
_cell_length_a 9.9781
_cell_length_b 10.1667
_cell_length_c 5.7375
_cell_angle_alpha 90.00
_cell_angle_beta 90.00
_cell_angle_gamma 90.00
loop_
_atom_site_label
_atom_site_fract_x
_atom_site_fract_y
_atom_site_fract_z
Dy1 0.0000 0.0000 0.0000
Sc1 0.0000 0.5000 0.5000
Sc2 0.2500 0.2500 0.2496
Bi1 0.0000 0.3278 0.0000
Bi2 0.1838 0.0000 0.5000
```

=====

# 2
A plane-wave DFT calculation with PBE was carried out for a relaxed DyScBi2 crystal.

CIF file:
```
data_DyScBi2
_chemical_formula_sum 'Dy3 Sc3 Bi6'
_space_group_name_H-M_alt 'R -3 m'
_space_group_IT_number 166
_space_group_name_Hall '-R 3 2"'
_cell_length_a 4.3731
_cell_length_b 4.3731
_cell_length_c 21.4174
_cell_angle_alpha 90.00
_cell_angle_beta 90.00
_cell_angle_gamma 120.00
loop_
_atom_site_label
_atom_site_fract_x
_atom_site_fract_y
_atom_site_fract_z
Dy1 0.0000 0.0000 0.0000
Sc1 0.0000 0.0000 0.5000
Bi1 0.0000 0.0000 0.2451
```

=====

# 3
A plane-wave DFT calculation with PBE was carried out for a relaxed DySc4Bi5 crystal.

CIF file:
```
data_DySc4Bi5
_chemical_formula_sum 'Dy2 Sc8 Bi10'
_space_group_name_H-M_alt 'I m m m'
_space_group_IT_number 71
_space_group_name_Hall '-I 2 2'
_cell_length_a 4.3063
_cell_length_b 6.1098
_cell_length_c 21.5319
_cell_angle_alpha 90.00
_cell_angle_beta 90.00
_cell_angle_gamma 90.00
loop_
_atom_site_label
_atom_site_fract_x
_atom_site_fract_y
_atom_site_fract_z
Dy1 0.0000 0.0000 0.0000
Sc1 0.0000 0.0000 0.2029
Sc2 0.0000 0.0000 0.4000
Bi1 0.0000 0.5000 0.0000
Bi2 0.0000 0.5000 0.1989
Bi3 0.0000 0.5000 0.3943
```

=====

# 4
A plane-wave DFT calculation with PBE was carried out for a relaxed Dy3ScBi3 crystal.

CIF file:
```
data_Dy3ScBi3
_chemical_formula_sum 'Dy18 Sc6 Bi18'
_space_group_name_H-M_alt 'R -3'
_space_group_IT_number 148
_space_group_name_Hall '-R 3'
_cell_length_a 8.9500
_cell_length_b 8.9500
_cell_length_c 18.7646
_cell_angle_alpha 90.00
_cell_angle_beta 90.00
_cell_angle_gamma 120.00
loop_
_atom_site_label
_atom_site_fract_x
_atom_site_fract_y
_atom_site_fract_z
Dy1 0.0019 0.7471 0.0819
Sc1 0.0000 0.0000 0.3333
Bi1 0.0029 0.6056 0.9172
```

=====

# 5
A plane-wave DFT calculation with PBE was carried out for a relaxed DySc2Bi crystal.

CIF file:
```
data_DySc2Bi
_chemical_formula_sum 'Dy4 Sc8 Bi4'
_space_group_name_H-M_alt 'C m c m'
_space_group_IT_number 63
_space_group_name_Hall '-C 2c 2'
_cell_length_a 4.4385
_cell_length_b 21.6765
_cell_length_c 4.4415
_cell_angle_alpha 90.00
_cell_angle_beta 90.00
_cell_angle_gamma 90.00
loop_
_atom_site_label
_atom_site_fract_x
_atom_site_fract_y
_atom_site_fract_z
Dy1 0.0000 0.1915 0.2500
Sc1 0.0000 0.0542 0.7500
Sc2 0.0000 0.4435 0.7500
Bi1 0.0000 0.3394 0.2500
```

=====

# 6
A plane-wave DFT calculation with PBE was carried out for a relaxed Dy3Sc2Bi3 crystal.

CIF file:
```
data_Dy3Sc2Bi3
_chemical_formula_sum 'Dy6 Sc4 Bi6'
_space_group_name_H-M_alt 'P 63/m c m'
_space_group_IT_number 193
_space_group_name_Hall '-P 6c 2'
_cell_length_a 8.9837
_cell_length_b 8.9837
_cell_length_c 6.2156
_cell_angle_alpha 90.00
_cell_angle_beta 90.00
_cell_angle_gamma 120.00
loop_
_atom_site_label
_atom_site_fract_x
_atom_site_fract_y
_atom_site_fract_z
Dy1 0.0000 0.2431 0.2500
Sc1 0.3333 0.6667 0.0000
Bi1 0.0000 0.3955 0.7500
```

=====

no.,M_tot (μB per formula unit),electronic total energy (eV/atom),ΔE_f (eV per atom)
1,2.1,-5.499,-0.3211
2,0.0,-5.429,-0.7552
3,0.0,-5.627,-0.6942
4,0.0,-5.161,-0.6207
5,0.0,-5.747,-0.4609
6,0.8,-5.436,-0.6725